No. 1
First-principles (GGA-PBE) data for an optimized crystal structure of Re2HgPt, as listed in Alexandria via LeMat-Bulk.

Values from the calculation:
Total magnetic moment: 0.0 μB/cell
Calculated formation energy: 0.520 eV/atom

Lattice parameters (Å, degrees): 3.843 4.250 8.085 90.00 90.00 90.00
Space group Imm2 (No. 44)
One atom of each set of equivalent atoms:
Re  0.000  0.000  0.000 (multiplicity 2)
Re  0.000  0.500  0.292 (multiplicity 2)
Hg  0.000  0.500  0.762 (multiplicity 2)
Pt  0.000  0.000  0.520 (multiplicity 2)



No. 2
First-principles (GGA-PBE) data for an optimized crystal structure of ReHg2Pt, as listed in Alexandria via LeMat-Bulk.

Values from the calculation:
Total magnetic moment: 0.0 μB/cell
Calculated formation energy: 0.584 eV/atom

Lattice parameters (Å, degrees): 2.930 5.005 9.857 90.00 90.00 90.00
Space group Cmmm (No. 65)
One atom of each set of equivalent atoms:
Re  0.000  0.000  0.000 (multiplicity 2)
Hg  0.000  0.500  0.252 (multiplicity 4)
Pt  0.000  0.000  0.500 (multiplicity 2)



No. 3
First-principles (GGA-PBE) data for an optimized crystal structure of ReHgPt2, as listed in Alexandria via LeMat-Bulk.

Values from the calculation:
Total magnetic moment: 0.0 μB/cell
Calculated formation energy: 0.215 eV/atom

Lattice parameters (Å, degrees): 2.837 2.837 8.267 90.00 90.00 90.00
Space group P4mm (No. 99)
One atom of each set of equivalent atoms:
Re  0.000  0.000  0.000 (multiplicity 1)
Hg  0.500  0.500  0.270 (multiplicity 1)
Pt  0.000  0.000  0.536 (multiplicity 1)
Pt  0.500  0.500  0.785 (multiplicity 1)